Arrangement P

The following is a DFT calculation (PBE-GGA) of a relaxed structure of Sr4Au.

DOS at the Fermi energy   1.19 states/eV per atom

a = 11.1288 Å, b = 11.1288 Å, c = 11.1288 Å
α = 155.93°, β = 155.93°, γ = 34.30°
Last column: nearest neighbours and their distance in Å.
Atoms (fractional coordinates):
Sr 0.0845 0.0845 0.0000  1 Sr 3.60, 4 Au 3.74
Sr 0.2500 0.7500 0.5000  4 Sr 3.28
Sr 0.7500 0.2500 0.5000  4 Sr 3.28
Sr 0.9155 0.9155 0.0000  1 Sr 3.60, 4 Au 3.74
Au 0.5000 0.5000 0.0000  8 Sr 3.74

---

Arrangement Q

The following is a DFT calculation (PBE-GGA) of a relaxed structure of Sr4Au.

DOS at the Fermi energy   1.25 states/eV per atom

a = 7.5842 Å, b = 7.5842 Å, c = 7.5842 Å
α = 94.00°, β = 94.00°, γ = 149.38°
Last column: nearest neighbours and their distance in Å.
Atoms (fractional coordinates):
Sr 0.0642 0.7478 0.8119  2 Au 3.36
Sr 0.2522 0.0642 0.3164  2 Au 3.36
Sr 0.7478 0.9358 0.6836  2 Au 3.36
Sr 0.9358 0.2522 0.1881  2 Au 3.36
Au 0.5000 0.5000 0.0000  8 Sr 3.36

---

Arrangement R

The following is a DFT calculation (PBE-GGA) of a relaxed structure of Sr4Au.

DOS at the Fermi energy   0.53 states/eV per atom

a = 6.2031 Å, b = 6.2031 Å, c = 6.2031 Å
α = 90.00°, β = 90.00°, γ = 90.00°
Last column: nearest neighbours and their distance in Å.
Atoms (fractional coordinates):
Sr 0.0000 0.0000 0.0000  12 Sr 4.39
Sr 0.0000 0.5000 0.5000  2 Au 3.10
Sr 0.5000 0.0000 0.5000  2 Au 3.10
Sr 0.5000 0.5000 0.0000  2 Au 3.10
Au 0.5000 0.5000 0.5000  6 Sr 3.10

---

Structures ranked by computed energy, the most stable listed first: arrangement R, arrangement Q, arrangement P.

---

Arrangement P

The following is a DFT calculation (PBE-GGA) of a relaxed structure of SrTaAu.

DOS at the Fermi energy   0.86 states/eV per atom

a = 7.1894 Å, b = 4.7741 Å, c = 9.1525 Å
α = 90.00°, β = 90.00°, γ = 90.00°
Last column: nearest neighbours and their distance in Å.
Atoms (fractional coordinates):
Sr 0.0812 0.2500 0.1578  5 Au 3.18-3.22
Sr 0.4188 0.7500 0.6578  5 Au 3.18-3.22
Sr 0.5812 0.2500 0.3422  5 Au 3.18-3.22
Sr 0.9188 0.7500 0.8422  5 Au 3.18-3.22
Ta 0.0494 0.2500 0.5480  2 Ta 2.64, 2 Au 2.65-2.81
Ta 0.4506 0.7500 0.0480  2 Ta 2.64, 2 Au 2.65-2.81
Ta 0.5494 0.2500 0.9520  2 Ta 2.64, 2 Au 2.65-2.81
Ta 0.9506 0.7500 0.4520  2 Ta 2.64, 2 Au 2.65-2.81
Au 0.2191 0.2500 0.8244  2 Ta 2.65-2.81
Au 0.2809 0.7500 0.3244  2 Ta 2.65-2.81
Au 0.7191 0.2500 0.6756  2 Ta 2.65-2.81
Au 0.7809 0.7500 0.1756  2 Ta 2.65-2.81

---

Arrangement Q

The following is a DFT calculation (PBE-GGA) of a relaxed structure of SrTaAu.

DOS at the Fermi energy   1.03 states/eV per atom

a = 6.8655 Å, b = 6.8655 Å, c = 6.8655 Å
α = 151.60°, β = 151.60°, γ = 40.60°
Last column: nearest neighbours and their distance in Å.
Atoms (fractional coordinates):
Sr 0.0000 0.0000 0.0000  4 Sr 3.37, 4 Au 3.44, 4 Ta 3.48
Ta 0.6970 0.6970 0.0000  4 Au 2.77
Au 0.3072 0.3072 0.0000  4 Ta 2.77

---

Structures ranked by computed energy, the most stable listed first: arrangement P, arrangement Q.